8
Lattice="4.9524 -4.9593 0.0000 4.9524 4.9593 0.0000 -1.9960 0.0000 6.4592" Properties=species:S:1:pos:R:3 comment="PBE CsTlSe2, relaxed" e_form_raw_kj_per_mol_atoms=-58.8 space_group="No. 15" magnetic_moment_mub_per_cell=0.00 pbc="T T T"
Cs 3.4554 3.5915 4.8444
Cs 4.4534 -3.5915 1.6148
Tl 4.4534 0.9477 1.6148
Tl 3.4554 -0.9477 4.8444
Se 0.5217 1.6873 5.5510
Se 1.5197 -1.6873 2.3214
Se 6.3892 1.6873 4.1377
Se 7.3872 -1.6873 0.9081


5
Lattice="6.2121 0.0000 0.0000 0.0000 6.2121 0.0000 0.0000 0.0000 6.2121" Properties=species:S:1:pos:R:3 comment="PBE CsTl3Se, relaxed" e_form_raw_kj_per_mol_atoms=-6.5 space_group="No. 221" magnetic_moment_mub_per_cell=0.00 polymorph_energy_ev_per_fu=0.000 pbc="T T T"
Cs 0.0000 0.0000 0.0000
Tl 0.0000 3.1061 3.1061
Tl 3.1061 0.0000 3.1061
Tl 3.1061 3.1061 0.0000
Se 3.1061 3.1061 3.1061


8
Lattice="6.0162 0.0000 0.0000 1.9542 6.1672 0.0000 0.3852 1.5630 8.6706" Properties=species:S:1:pos:R:3 comment="PBE CsTlSe2, relaxed" e_form_raw_kj_per_mol_atoms=-61.2 space_group="No. 2" magnetic_moment_mub_per_cell=0.00 pbc="T T T"
Cs 0.5228 1.5645 1.6582
Cs 7.8328 6.1658 7.0124
Tl 3.0629 2.2669 5.3654
Tl 5.2927 5.4634 3.3052
Se 2.2916 4.3468 3.2987
Se 3.5943 3.9597 1.2504
Se 4.7613 3.7706 7.4202
Se 6.0641 3.3835 5.3719


4
Lattice="0.0000 4.1219 4.1219 4.1219 0.0000 4.1219 4.1219 4.1219 0.0000" Properties=species:S:1:pos:R:3 comment="PBE CsTl2Se, relaxed" e_form_raw_kj_per_mol_atoms=-21.1 space_group="No. 225" magnetic_moment_mub_per_cell=0.00 pbc="T T T"
Cs 0.0000 0.0000 0.0000
Tl 2.0609 2.0609 2.0609
Tl 6.1828 6.1828 6.1828
Se 4.1219 4.1219 4.1219